This record from Alexandria via LeMat-Bulk describes an optimized crystal structure of FeTcSbIr2. The functional is PBE-GGA.

Results
total DFT energy (no corrections) = -6.204 eV per atom
space-group type = P4/mmm
spin magnetization = 1.1834 μB per atom

Lattice parameters (Å, degrees): 4.8003 4.8003 4.8598 90.00 90.00 90.00
Closest atoms and distances in Å follow each position.
Sites, in units of the cell vectors:
Fe 0.0000 0.0000 0.0000  4 Tc 3.39, 8 Ir 3.42
Tc 0.5000 0.5000 0.0000  2 Sb 2.43
Sb 0.5000 0.5000 0.5000  4 Ir 2.40, 2 Tc 2.43
Ir 0.0000 0.5000 0.5000  2 Sb 2.40
Ir 0.5000 0.0000 0.5000  2 Sb 2.40



This record from Alexandria via LeMat-Bulk describes an optimized crystal structure of SrLi2Be. The functional is PBE-GGA.

Results
space-group type = Cm
spin magnetization = 0.0000 μB per atom
formation energy from the elements = 0.27 eV per atom

Lattice parameters (Å, degrees): 7.8861 4.5593 6.0684 90.00 115.56 90.00
Closest atoms and distances in Å follow each position.
Sites, in units of the cell vectors:
Sr 0.0000 0.0000 0.0000  1 Li 3.13, 4 Be 3.25-3.45
Sr 0.5000 0.5000 0.0000  1 Li 3.13, 4 Be 3.25-3.45
Li 0.0149 0.5000 0.5455  3 Be 2.64-2.65, 3 Li 2.71
Li 0.3093 0.5000 0.4284  3 Li 2.71, 3 Be 2.78
Li 0.5149 0.0000 0.5455  3 Be 2.64-2.65, 3 Li 2.71
Li 0.8093 0.0000 0.4284  3 Li 2.71, 3 Be 2.78
Be 0.1969 0.0000 0.5930  6 Li 2.64-2.78
Be 0.6969 0.5000 0.5930  6 Li 2.64-2.78



This record from Alexandria via LeMat-Bulk describes an optimized crystal structure of Cs3Sn2Au3. The functional is PBE-GGA.

Results
space-group type = R-3m
spin magnetization = 0.0000 μB per atom
formation energy from the elements = -0.25 eV per atom

Lattice parameters (Å, degrees): 8.4731 8.4731 8.4731 48.91 48.91 48.91
Closest atoms and distances in Å follow each position.
Sites, in units of the cell vectors:
Cs 0.0000 0.0000 0.0000  6 Au 4.24, 6 Cs 4.46, 6 Sn 4.49
Cs 0.4172 0.4172 0.4172  1 Cs 3.70, 4 Sn 3.81-4.05, 6 Au 3.96
Cs 0.5828 0.5828 0.5828  1 Cs 3.70, 4 Sn 3.81-4.05, 6 Au 3.96
Sn 0.2466 0.2466 0.2466  3 Au 2.70
Sn 0.7534 0.7534 0.7534  3 Au 2.70
Au 0.0000 0.0000 0.5000  2 Sn 2.70
Au 0.0000 0.5000 0.0000  2 Sn 2.70
Au 0.5000 0.0000 0.0000  2 Sn 2.70



This record from Alexandria via LeMat-Bulk describes an optimized crystal structure of Mg8Tl2In. The functional is PBE-GGA.

Results
space-group type = Immm
spin magnetization = 0.0000 μB per atom
energy relative to the lowest polymorph listed for this composition = 2.39 kJ/mol of atoms
formation energy from the elements = -0.02 eV per atom

Lattice parameters (Å, degrees): 8.4439 8.4439 8.4439 148.27 122.44 67.23
Closest atoms and distances in Å follow each position.
Sites, in units of the cell vectors:
Mg 0.1055 0.3393 0.7662  3 Tl 3.00-3.11, 1 In 3.13, 5 Mg 3.17-3.24
Mg 0.1538 0.1538 0.0000  2 In 3.16, 8 Mg 3.17-3.23, 2 Tl 3.28
Mg 0.2873 0.0000 0.2873  2 Tl 3.07, 6 Mg 3.18-3.24, 2 In 3.28
Mg 0.4269 0.6607 0.7662  3 Tl 3.00-3.11, 1 In 3.13, 5 Mg 3.17-3.24
Mg 0.5731 0.3393 0.2338  3 Tl 3.00-3.11, 1 In 3.13, 5 Mg 3.17-3.24
Mg 0.7127 0.0000 0.7127  2 Tl 3.07, 6 Mg 3.18-3.24, 2 In 3.28
Mg 0.8462 0.8462 0.0000  2 In 3.16, 8 Mg 3.17-3.23, 2 Tl 3.28
Mg 0.8945 0.6607 0.2338  3 Tl 3.00-3.11, 1 In 3.13, 5 Mg 3.17-3.24
Tl 0.3196 0.8196 0.5000  10 Mg 3.00-3.28
Tl 0.6804 0.1804 0.5000  10 Mg 3.00-3.28
In 0.0000 0.5000 0.5000  12 Mg 3.13-3.28



This record from Alexandria via LeMat-Bulk describes an optimized crystal structure of K2ZrSnSe4. The functional is PBE-GGA.

Results
total DFT energy (no corrections) = -4.712 eV per atom
space-group type = P2/m
spin magnetization = 0.0000 μB per atom

Lattice parameters (Å, degrees): 7.4145 4.1224 7.8896 90.00 106.69 90.00
Closest atoms and distances in Å follow each position.
Sites, in units of the cell vectors:
K 0.0000 0.0000 0.0000  6 Se 3.23-3.24
K 0.5000 0.5000 0.0000  6 Se 3.40-3.44
Zr 0.0000 0.5000 0.5000  6 Se 2.71-2.79
Sn 0.5000 0.0000 0.5000  6 Se 2.96-2.97
Se 0.2144 0.0000 0.6972  2 Zr 2.79, 1 Sn 2.97
Se 0.2393 0.5000 0.2973  1 Zr 2.71, 2 Sn 2.96
Se 0.7607 0.5000 0.7027  1 Zr 2.71, 2 Sn 2.96
Se 0.7856 0.0000 0.3028  2 Zr 2.79, 1 Sn 2.97



This record from Alexandria via LeMat-Bulk describes an optimized crystal structure of K2Y2Bi. The functional is PBE-GGA.

Results
space-group type = P4/mbm
spin magnetization = 0.0000 μB per atom
energy relative to the lowest polymorph listed for this composition = 11.27 kJ/mol of atoms
formation energy from the elements = 0.54 eV per atom

Lattice parameters (Å, degrees): 8.2706 8.2706 5.5136 90.00 90.00 90.00
Closest atoms and distances in Å follow each position.
Sites, in units of the cell vectors:
K 0.1254 0.3746 0.0000  1 K 2.93, 2 Bi 3.27
K 0.3746 0.8746 0.0000  1 K 2.93, 2 Bi 3.27
K 0.6254 0.1254 0.0000  1 K 2.93, 2 Bi 3.27
K 0.8746 0.6254 0.0000  1 K 2.93, 2 Bi 3.27
Y 0.1873 0.6873 0.5000  6 K 3.52-3.81
Y 0.3127 0.1873 0.5000  6 K 3.52-3.81
Y 0.6873 0.8127 0.5000  6 K 3.52-3.81
Y 0.8127 0.3127 0.5000  6 K 3.52-3.81
Bi 0.0000 0.0000 0.0000  4 K 3.27
Bi 0.5000 0.5000 0.0000  4 K 3.27



This record from Alexandria via LeMat-Bulk describes an optimized crystal structure of Ba2NF. The functional is PBE-GGA.

Results
space-group type = P-3m1
spin magnetization = 0.0199 μB per atom
energy relative to the lowest polymorph listed for this composition = 1.16 kJ/mol of atoms

Lattice parameters (Å, degrees): 3.9336 3.9336 6.9596 90.00 90.00 120.00
Closest atoms and distances in Å follow each position.
Sites, in units of the cell vectors:
Ba 0.3333 0.6667 0.2231  3 N 2.75, 3 F 2.98
Ba 0.6667 0.3333 0.7769  3 N 2.75, 3 F 2.98
N 0.0000 0.0000 0.0000  6 Ba 2.75
F 0.0000 0.0000 0.5000  6 Ba 2.98



This record from Alexandria via LeMat-Bulk describes an optimized crystal structure of LiTaPd3. The functional is PBE-GGA.

Results
space-group type = Pm-3m
spin magnetization = 0.0000 μB per atom
energy relative to the lowest polymorph listed for this composition = 62.14 kJ/mol of atoms
formation energy from the elements = 0.30 eV per atom

Lattice parameters (Å, degrees): 4.2243 4.2243 4.2243 90.00 90.00 90.00
Closest atoms and distances in Å follow each position.
Sites, in units of the cell vectors:
Li 0.0000 0.0000 0.0000  6 Pd 2.11
Ta 0.5000 0.5000 0.5000  12 Pd 2.99
Pd 0.0000 0.0000 0.5000  2 Li 2.11
Pd 0.0000 0.5000 0.0000  2 Li 2.11
Pd 0.5000 0.0000 0.0000  2 Li 2.11



What is the spin magnetization in the third record?
0.0000 μB per atom



What is the spin magnetization in the first record?
1.1834 μB per atom